Record 1
# Sm4Ho2Sc

Crystalline Sm4Ho2Sc at its relaxed geometry (PBE, the Alexandria database).

a = 12.324 Å, b = 12.324 Å, c = 6.691 Å
α = 97.04°, β = 97.04°, γ = 150.09°
Fractional coordinates of all 14 atoms:
1 Ho 0.922 0.103 0.048
2 Ho 0.305 0.623 0.952
3 Sm 0.797 0.186 0.396
4 Sm 0.186 0.797 0.896
5 Sm 0.600 0.563 0.644
6 Sm 0.152 0.041 0.104
7 Sc 0.672 0.422 0.000
8 Sm 0.706 0.169 0.857
9 Ho 0.103 0.922 0.548
10 Sc 0.422 0.672 0.500
11 Sm 0.169 0.706 0.357
12 Ho 0.623 0.305 0.452
13 Sm 0.041 0.152 0.604
14 Sm 0.563 0.600 0.144

Output
The calculation puts the energy relative to the elements at 0.0687 eV/atom. The density is 7.3 g/cm3. The value obtained for the density of states at the Fermi level is 19.9 states/eV/cell. The value obtained for the excess energy over the best structure of this formula in the dataset is 0.00 eV per formula unit.


Record 2
# SmHo3Sc3

Crystalline SmHo3Sc3 at its relaxed geometry (PBE, the Alexandria database).

a = 5.449 Å, b = 9.225 Å, c = 9.225 Å
α = 120.00°, β = 90.00°, γ = 90.00°
Fractional coordinates of all 14 atoms:
1 Sc 0.750 0.481 0.096
2 Ho 0.250 0.952 0.195
3 Sc 0.250 0.096 0.615
4 Sm 0.250 0.667 0.333
5 Sc 0.250 0.385 0.481
6 Sc 0.750 0.615 0.519
7 Ho 0.250 0.805 0.757
8 Sc 0.750 0.904 0.385
9 Ho 0.750 0.048 0.805
10 Ho 0.250 0.243 0.048
11 Ho 0.750 0.195 0.243
12 Sm 0.750 0.333 0.667
13 Ho 0.750 0.757 0.952
14 Sc 0.250 0.519 0.904

Output
The calculation puts the energy relative to the elements at 0.0299 eV/atom. The density is 6.5 g/cm3. The value obtained for the density of states at the Fermi level is 28.4 states/eV/cell. The value obtained for the excess energy over the best structure of this formula in the dataset is 0.00 eV per formula unit.


Record 3
# Sm4Ho3Sc2

Crystalline Sm4Ho3Sc2 at its relaxed geometry (PBE, the Alexandria database).

a = 5.886 Å, b = 10.050 Å, c = 10.050 Å
α = 70.22°, β = 83.42°, γ = 83.42°
Fractional coordinates of all 18 atoms:
1 Ho 0.250 0.386 0.614
2 Sm 0.381 0.178 0.391
3 Ho 0.421 0.319 0.029
4 Sm 0.881 0.391 0.178
5 Sm 0.119 0.609 0.822
6 Ho 0.579 0.681 0.971
7 Ho 0.750 0.614 0.386
8 Sm 0.031 0.820 0.055
9 Ho 0.921 0.029 0.319
10 Sc 0.194 0.733 0.473
11 Sc 0.694 0.473 0.733
12 Sm 0.531 0.055 0.820
13 Ho 0.079 0.971 0.681
14 Sm 0.619 0.822 0.609
15 Sc 0.306 0.527 0.267
16 Sm 0.469 0.945 0.180
17 Sc 0.806 0.267 0.527
18 Sm 0.969 0.180 0.945

Output
The calculation puts the energy relative to the elements at 0.1044 eV/atom. The density is 7.1 g/cm3. The value obtained for the density of states at the Fermi level is 26.8 states/eV/cell. The value obtained for the excess energy over the best structure of this formula in the dataset is 0.18 eV per formula unit.


Record 4
# Sm7Ho3Sc2

Crystalline Sm7Ho3Sc2 at its relaxed geometry (PBE, the Alexandria database).

a = 3.568 Å, b = 5.704 Å, c = 18.917 Å
α = 98.67°, β = 90.00°, γ = 90.00°
Fractional coordinates of all 12 atoms:
1 Sc 0.000 0.851 0.702
2 Sm 0.500 0.926 0.852
3 Sm 0.000 0.231 0.462
4 Sc 0.000 0.149 0.298
5 Sm 0.000 0.769 0.538
6 Ho 0.500 0.684 0.368
7 Sm 0.000 0.595 0.191
8 Ho 0.500 0.500 0.000
9 Ho 0.500 0.316 0.632
10 Sm 0.000 0.405 0.809
11 Sm 0.500 0.074 0.148
12 Sm 0.000 0.000 0.000

Output
The calculation puts the energy relative to the elements at 0.1315 eV/atom. The density is 7.1 g/cm3. The value obtained for the density of states at the Fermi level is 20.4 states/eV/cell.


Record 5
# SmHo5Sc5

Crystalline SmHo5Sc5 at its relaxed geometry (PBE, the Alexandria database).

a = 5.780 Å, b = 5.780 Å, c = 11.291 Å
α = 90.00°, β = 90.00°, γ = 120.00°
Last column: magnetic moment on the atom in μB.
Fractional coordinates of all 11 atoms:
1 Sc 0.835 0.165 0.500  0.14
2 Sc 0.000 0.000 0.269  0.29
3 Sm 0.333 0.667 0.000  0.01
4 Ho 0.000 0.000 0.000  -0.02
5 Sc 0.000 0.000 0.731  0.29
6 Ho 0.667 0.333 0.839  0.09
7 Sc 0.329 0.165 0.500  0.14
8 Ho 0.333 0.667 0.678  0.24
9 Ho 0.667 0.333 0.161  0.09
10 Ho 0.333 0.667 0.322  0.24
11 Sc 0.835 0.671 0.500  0.14

Output
The calculation puts the energy relative to the elements at 0.2415 eV/atom. The density is 6.1 g/cm3. The value obtained for the density of states at the Fermi level is 22.0 states/eV/cell.


Record 6
# SmHo7Sc2

Crystalline SmHo7Sc2 at its relaxed geometry (PBE, the Alexandria database).

a = 8.486 Å, b = 8.486 Å, c = 5.611 Å
α = 90.00°, β = 90.00°, γ = 118.51°
Fractional coordinates of all 10 atoms:
1 Ho 0.305 0.073 0.500
2 Ho 0.927 0.695 0.500
3 Ho 0.500 0.500 0.500
4 Sc 0.715 0.285 0.500
5 Ho 0.328 0.672 0.000
6 Sc 0.285 0.715 0.500
7 Ho 0.073 0.305 0.500
8 Ho 0.695 0.927 0.500
9 Ho 0.672 0.328 0.000
10 Sm 0.000 0.000 0.000

Output
The calculation puts the energy relative to the elements at 0.6615 eV/atom. The density is 6.5 g/cm3. The value obtained for the density of states at the Fermi level is 16.1 states/eV/cell. The value obtained for the excess energy over the best structure of this formula in the dataset is 0.00 eV per formula unit.


Record 7
# Sm4Ho5Sc

Crystalline Sm4Ho5Sc at its relaxed geometry (PBE, the Alexandria database).

a = 3.459 Å, b = 10.933 Å, c = 8.936 Å
α = 73.13°, β = 101.16°, γ = 90.00°
Fractional coordinates of all 10 atoms:
1 Sm 0.304 0.084 0.609
2 Sm 0.091 0.194 0.181
3 Ho 0.106 0.712 0.213
4 Sc 0.500 0.000 0.000
5 Sm 0.909 0.806 0.819
6 Ho 0.894 0.288 0.787
7 Ho 0.207 0.403 0.413
8 Sm 0.696 0.916 0.391
9 Ho 0.793 0.597 0.587
10 Ho 0.500 0.500 0.000

Output
The calculation puts the energy relative to the elements at 0.1171 eV/atom. The density is 7.7 g/cm3. The value obtained for the density of states at the Fermi level is 16.9 states/eV/cell. The value obtained for the excess energy over the best structure of this formula in the dataset is 0.00 eV per formula unit.


Record 8
# SmHo6Sc6

Crystalline SmHo6Sc6 at its relaxed geometry (PBE, the Alexandria database).

a = 6.398 Å, b = 6.398 Å, c = 10.874 Å
α = 90.00°, β = 90.00°, γ = 120.00°
Last column: magnetic moment on the atom in μB.
Fractional coordinates of all 13 atoms:
1 Sc 0.000 0.500 0.242  0.06
2 Sc 0.500 0.000 0.242  0.06
3 Ho 0.667 0.333 0.500  0.11
4 Ho 0.000 0.000 0.659  0.09
5 Sc 0.500 0.000 0.758  0.06
6 Ho 0.333 0.667 0.000  -0.01
7 Sc 0.000 0.500 0.758  0.06
8 Sc 0.500 0.500 0.242  0.06
9 Ho 0.667 0.333 0.000  -0.01
10 Ho 0.000 0.000 0.341  0.09
11 Ho 0.333 0.667 0.500  0.11
12 Sm 0.000 0.000 0.000  0.00
13 Sc 0.500 0.500 0.758  0.06

Output
The calculation puts the energy relative to the elements at 0.2258 eV/atom. The density is 6.1 g/cm3. The value obtained for the density of states at the Fermi level is 27.6 states/eV/cell.